1.
# CaTmMgAg PBE relaxed
# M_tot in μB/cell: 0.00
# E in eV/atom: -2.919
# Energy of formation in eV/atom: -0.189
data_CaTmMgAg
_chemical_formula_sum 'Ca1 Tm1 Mg1 Ag1'
_cell_length_a 3.691
_cell_length_b 3.691
_cell_length_c 7.724
_cell_angle_alpha 90.00
_cell_angle_beta 90.00
_cell_angle_gamma 90.00
_space_group_name_H-M_alt 'P 1'
_space_group_IT_number 1
loop_
_space_group_symop_operation_xyz
'x,y,z'
loop_
_atom_site_label
_atom_site_fract_x
_atom_site_fract_y
_atom_site_fract_z
_atom_site_occupancy
Ca1 0.000 0.000 0.000 1
Tm1 0.000 0.000 0.459 1
Mg1 0.500 0.500 0.715 1
Ag1 0.500 0.500 0.256 1

=====

2.
# Ca3MgZn2Ag9 PBE relaxed
# M_tot in μB/cell: 0.00
# E in eV/atom: -2.388
# Energy of formation in eV/atom: -0.001
data_Ca3MgZn2Ag9
_chemical_formula_sum 'Ca3 Mg1 Zn2 Ag9'
_cell_length_a 6.587
_cell_length_b 6.587
_cell_length_c 10.115
_cell_angle_alpha 90.00
_cell_angle_beta 90.00
_cell_angle_gamma 120.00
_space_group_name_H-M_alt 'P 1'
_space_group_IT_number 1
loop_
_space_group_symop_operation_xyz
'x,y,z'
loop_
_atom_site_label
_atom_site_fract_x
_atom_site_fract_y
_atom_site_fract_z
_atom_site_occupancy
Ca1 0.000 0.000 0.000 1
Ca2 0.333 0.667 0.727 1
Ca3 0.667 0.333 0.273 1
Mg1 0.000 0.000 0.500 1
Zn1 0.333 0.667 0.168 1
Zn2 0.667 0.333 0.832 1
Ag1 0.000 0.500 0.000 1
Ag2 0.142 0.283 0.282 1
Ag3 0.142 0.858 0.282 1
Ag4 0.283 0.142 0.718 1
Ag5 0.500 0.000 0.000 1
Ag6 0.500 0.500 0.000 1
Ag7 0.717 0.858 0.282 1
Ag8 0.858 0.142 0.718 1
Ag9 0.858 0.717 0.718 1

=====

3.
# Ca2MgZn12Ag3 PBE relaxed
# M_tot in μB/cell: 0.00
# E in eV/atom: -1.434
# Energy of formation in eV/atom: 0.201
data_Ca2MgZn12Ag3
_chemical_formula_sum 'Ca2 Mg1 Zn12 Ag3'
_cell_length_a 8.052
_cell_length_b 8.052
_cell_length_c 8.052
_cell_angle_alpha 65.48
_cell_angle_beta 65.48
_cell_angle_gamma 65.48
_space_group_name_H-M_alt 'P 1'
_space_group_IT_number 1
loop_
_space_group_symop_operation_xyz
'x,y,z'
loop_
_atom_site_label
_atom_site_fract_x
_atom_site_fract_y
_atom_site_fract_z
_atom_site_occupancy
Ca1 0.094 0.094 0.094 1
Ca2 0.906 0.906 0.906 1
Mg1 0.500 0.500 0.500 1
Zn1 0.142 0.142 0.481 1
Zn2 0.142 0.481 0.142 1
Zn3 0.142 0.648 0.648 1
Zn4 0.352 0.352 0.858 1
Zn5 0.352 0.858 0.352 1
Zn6 0.481 0.142 0.142 1
Zn7 0.519 0.858 0.858 1
Zn8 0.648 0.142 0.648 1
Zn9 0.648 0.648 0.142 1
Zn10 0.858 0.352 0.352 1
Zn11 0.858 0.519 0.858 1
Zn12 0.858 0.858 0.519 1
Ag1 0.000 0.500 0.500 1
Ag2 0.500 0.000 0.500 1
Ag3 0.500 0.500 0.000 1

=====

4.
# CaMgZn2Ag5 PBE relaxed
# M_tot in μB/cell: 0.00
# E in eV/atom: -2.299
# Energy of formation in eV/atom: -0.032
data_CaMgZn2Ag5
_chemical_formula_sum 'Ca1 Mg1 Zn2 Ag5'
_cell_length_a 4.862
_cell_length_b 4.862
_cell_length_c 7.752
_cell_angle_alpha 90.00
_cell_angle_beta 90.00
_cell_angle_gamma 90.00
_space_group_name_H-M_alt 'P 1'
_space_group_IT_number 1
loop_
_space_group_symop_operation_xyz
'x,y,z'
loop_
_atom_site_label
_atom_site_fract_x
_atom_site_fract_y
_atom_site_fract_z
_atom_site_occupancy
Ca1 0.000 0.000 0.000 1
Mg1 0.000 0.000 0.500 1
Zn1 0.500 0.500 0.346 1
Zn2 0.500 0.500 0.654 1
Ag1 0.000 0.500 0.249 1
Ag2 0.000 0.500 0.751 1
Ag3 0.500 0.000 0.249 1
Ag4 0.500 0.000 0.751 1
Ag5 0.500 0.500 0.000 1

=====

5.
# CaMgZn2Ag4 PBE relaxed
# M_tot in μB/cell: 0.00
# E in eV/atom: -2.346
# Energy of formation in eV/atom: -0.152
data_CaMgZn2Ag4
_chemical_formula_sum 'Ca1 Mg1 Zn2 Ag4'
_cell_length_a 8.173
_cell_length_b 8.173
_cell_length_c 8.173
_cell_angle_alpha 33.73
_cell_angle_beta 33.73
_cell_angle_gamma 33.73
_space_group_name_H-M_alt 'P 1'
_space_group_IT_number 1
loop_
_space_group_symop_operation_xyz
'x,y,z'
loop_
_atom_site_label
_atom_site_fract_x
_atom_site_fract_y
_atom_site_fract_z
_atom_site_occupancy
Ca1 0.000 0.000 0.000 1
Mg1 0.500 0.500 0.500 1
Zn1 0.253 0.253 0.253 1
Zn2 0.747 0.747 0.747 1
Ag1 0.132 0.132 0.132 1
Ag2 0.382 0.382 0.382 1
Ag3 0.618 0.618 0.618 1
Ag4 0.868 0.868 0.868 1

=====

6.
# CaMgZn2Ag PBE relaxed
# M_tot in μB/cell: 0.00
# E in eV/atom: -2.020
# Energy of formation in eV/atom: -0.221
data_CaMgZn2Ag
_chemical_formula_sum 'Ca1 Mg1 Zn2 Ag1'
_cell_length_a 6.908
_cell_length_b 6.908
_cell_length_c 6.908
_cell_angle_alpha 147.62
_cell_angle_beta 142.72
_cell_angle_gamma 50.20
_space_group_name_H-M_alt 'P 1'
_space_group_IT_number 1
loop_
_space_group_symop_operation_xyz
'x,y,z'
loop_
_atom_site_label
_atom_site_fract_x
_atom_site_fract_y
_atom_site_fract_z
_atom_site_occupancy
Ca1 0.000 0.000 0.000 1
Mg1 0.244 0.744 0.500 1
Zn1 0.612 0.612 0.000 1
Zn2 0.763 0.263 0.500 1
Ag1 0.402 0.402 0.000 1

=====

7.
# CaMnAg PBE relaxed
# M_tot in μB/cell: 3.89
# E in eV/atom: -4.473
# Energy of formation in eV/atom: 0.201
data_CaMnAg
_chemical_formula_sum 'Ca1 Mn1 Ag1'
_cell_length_a 4.659
_cell_length_b 4.659
_cell_length_c 3.743
_cell_angle_alpha 90.00
_cell_angle_beta 90.00
_cell_angle_gamma 120.00
_space_group_name_H-M_alt 'P 1'
_space_group_IT_number 1
loop_
_space_group_symop_operation_xyz
'x,y,z'
loop_
_atom_site_label
_atom_site_fract_x
_atom_site_fract_y
_atom_site_fract_z
_atom_site_occupancy
Ca1 0.000 0.000 0.000 1
Mn1 0.333 0.667 0.499 1
Ag1 0.667 0.333 0.501 1

=====

8.
# Ca2MnAg PBE relaxed
# M_tot in μB/cell: 7.50
# E in eV/atom: -3.590
# Energy of formation in eV/atom: 0.416
data_Ca2MnAg
_chemical_formula_sum 'Ca4 Mn2 Ag2'
_cell_length_a 6.659
_cell_length_b 6.659
_cell_length_c 6.659
_cell_angle_alpha 104.04
_cell_angle_beta 104.04
_cell_angle_gamma 120.99
_space_group_name_H-M_alt 'P 1'
_space_group_IT_number 1
loop_
_space_group_symop_operation_xyz
'x,y,z'
loop_
_atom_site_label
_atom_site_fract_x
_atom_site_fract_y
_atom_site_fract_z
_atom_site_occupancy
Ca1 0.110 0.625 0.985 1
Ca2 0.375 0.360 0.485 1
Ca3 0.640 0.125 0.015 1
Ca4 0.875 0.890 0.515 1
Mn1 0.250 0.750 0.500 1
Mn2 0.500 0.500 0.000 1
Ag1 0.000 0.000 0.000 1
Ag2 0.750 0.250 0.500 1

=====

9.
# Ca2MnAg PBE relaxed
# M_tot in μB/cell: 3.81
# E in eV/atom: -3.908
# Energy of formation in eV/atom: 0.098
data_Ca2MnAg
_chemical_formula_sum 'Ca2 Mn1 Ag1'
_cell_length_a 4.459
_cell_length_b 6.116
_cell_length_c 6.116
_cell_angle_alpha 41.20
_cell_angle_beta 90.00
_cell_angle_gamma 90.00
_space_group_name_H-M_alt 'P 1'
_space_group_IT_number 1
loop_
_space_group_symop_operation_xyz
'x,y,z'
loop_
_atom_site_label
_atom_site_fract_x
_atom_site_fract_y
_atom_site_fract_z
_atom_site_occupancy
Ca1 0.000 0.000 0.000 1
Ca2 0.500 0.291 0.291 1
Mn1 0.500 0.581 0.581 1
Ag1 0.000 0.715 0.715 1

=====

10.
# Ca2MnAg PBE relaxed
# M_tot in μB/cell: 3.51
# E in eV/atom: -3.837
# Energy of formation in eV/atom: 0.169
data_Ca2MnAg
_chemical_formula_sum 'Ca2 Mn1 Ag1'
_cell_length_a 7.307
_cell_length_b 7.307
_cell_length_c 7.307
_cell_angle_alpha 36.05
_cell_angle_beta 36.05
_cell_angle_gamma 36.05
_space_group_name_H-M_alt 'P 1'
_space_group_IT_number 1
loop_
_space_group_symop_operation_xyz
'x,y,z'
loop_
_atom_site_label
_atom_site_fract_x
_atom_site_fract_y
_atom_site_fract_z
_atom_site_occupancy
Ca1 0.000 0.000 0.000 1
Ca2 0.186 0.186 0.186 1
Mn1 0.423 0.423 0.423 1
Ag1 0.763 0.763 0.763 1

=====

11.
# Ca2MnAg PBE relaxed
# M_tot in μB/cell: 3.85
# E in eV/atom: -3.882
# Energy of formation in eV/atom: 0.124
data_Ca2MnAg
_chemical_formula_sum 'Ca2 Mn1 Ag1'
_cell_length_a 5.201
_cell_length_b 5.201
_cell_length_c 3.757
_cell_angle_alpha 90.00
_cell_angle_beta 90.00
_cell_angle_gamma 90.00
_space_group_name_H-M_alt 'P 1'
_space_group_IT_number 1
loop_
_space_group_symop_operation_xyz
'x,y,z'
loop_
_atom_site_label
_atom_site_fract_x
_atom_site_fract_y
_atom_site_fract_z
_atom_site_occupancy
Ca1 0.000 0.500 0.000 1
Ca2 0.500 0.000 0.000 1
Mn1 0.000 0.000 0.500 1
Ag1 0.500 0.500 0.500 1

=====

12.
# CaMnAg4 PBE relaxed
# M_tot in μB/cell: 4.17
# E in eV/atom: -3.698
# Energy of formation in eV/atom: 0.065
data_CaMnAg4
_chemical_formula_sum 'Ca1 Mn1 Ag4'
_cell_length_a 5.589
_cell_length_b 5.589
_cell_length_c 5.589
_cell_angle_alpha 60.00
_cell_angle_beta 60.00
_cell_angle_gamma 60.00
_space_group_name_H-M_alt 'P 1'
_space_group_IT_number 1
loop_
_space_group_symop_operation_xyz
'x,y,z'
loop_
_atom_site_label
_atom_site_fract_x
_atom_site_fract_y
_atom_site_fract_z
_atom_site_occupancy
Ca1 0.000 0.000 0.000 1
Mn1 0.750 0.750 0.750 1
Ag1 0.375 0.375 0.375 1
Ag2 0.375 0.375 0.874 1
Ag3 0.375 0.874 0.375 1
Ag4 0.874 0.375 0.375 1

=====

13.
# CaMnAg2 PBE relaxed
# M_tot in μB/cell: 7.89
# E in eV/atom: -3.819
# Energy of formation in eV/atom: 0.400
data_CaMnAg2
_chemical_formula_sum 'Ca2 Mn2 Ag4'
_cell_length_a 10.072
_cell_length_b 10.072
_cell_length_c 10.072
_cell_angle_alpha 154.34
_cell_angle_beta 154.34
_cell_angle_gamma 36.60
_space_group_name_H-M_alt 'P 1'
_space_group_IT_number 1
loop_
_space_group_symop_operation_xyz
'x,y,z'
loop_
_atom_site_label
_atom_site_fract_x
_atom_site_fract_y
_atom_site_fract_z
_atom_site_occupancy
Ca1 0.000 0.000 0.000 1
Ca2 0.750 0.250 0.500 1
Mn1 0.250 0.750 0.500 1
Mn2 0.500 0.500 0.000 1
Ag1 0.190 0.625 0.065 1
Ag2 0.375 0.440 0.565 1
Ag3 0.560 0.125 0.935 1
Ag4 0.875 0.810 0.435 1

=====

14.
# Ca2MnAg PBE relaxed
# M_tot in μB/cell: 4.46
# E in eV/atom: -3.859
# Energy of formation in eV/atom: 0.147
data_Ca2MnAg
_chemical_formula_sum 'Ca2 Mn1 Ag1'
_cell_length_a 3.633
_cell_length_b 3.633
_cell_length_c 8.215
_cell_angle_alpha 90.00
_cell_angle_beta 90.00
_cell_angle_gamma 90.00
_space_group_name_H-M_alt 'P 1'
_space_group_IT_number 1
loop_
_space_group_symop_operation_xyz
'x,y,z'
loop_
_atom_site_label
_atom_site_fract_x
_atom_site_fract_y
_atom_site_fract_z
_atom_site_occupancy
Ca1 0.000 0.000 0.000 1
Ca2 0.500 0.500 0.367 1
Mn1 0.000 0.000 0.620 1
Ag1 0.500 0.500 0.755 1